{"formula": "Be2ZnIn2Pd5", "functional": "PBE-GGA", "state": "relaxed", "spacegroup": "P4/mbm", "final_energy_ev_per_fu": -44.9, "cell": [[9.394, 0.000, 0.000], [0.000, 9.394, 0.000], [0.000, 0.000, 3.365]], "species": ["Be", "Be", "Be", "Be", "Zn", "Zn", "In", "In", "In", "In", "Pd", "Pd", "Pd", "Pd", "Pd", "Pd", "Pd", "Pd", "Pd", "Pd"], "fractional_positions": [[0.126, 0.374, 0.000], [0.374, 0.874, 0.000], [0.626, 0.126, 0.000], [0.874, 0.626, 0.000], [0.000, 0.000, 0.000], [0.500, 0.500, 0.000], [0.173, 0.673, 0.000], [0.327, 0.173, 0.000], [0.673, 0.827, 0.000], [0.827, 0.327, 0.000], [0.000, 0.500, 0.500], [0.076, 0.206, 0.500], [0.206, 0.924, 0.500], [0.294, 0.424, 0.500], [0.424, 0.706, 0.500], [0.500, 0.000, 0.500], [0.576, 0.294, 0.500], [0.706, 0.576, 0.500], [0.794, 0.076, 0.500], [0.924, 0.794, 0.500]]}


{"formula": "ZrBeInPd", "functional": "PBE-GGA", "state": "relaxed", "spacegroup": "F-43m", "final_energy_ev_per_fu": -21.4, "cell": [[0.000, 3.241, 3.241], [3.241, 0.000, 3.241], [3.241, 3.241, 0.000]], "species": ["Zr", "Be", "In", "Pd"], "fractional_positions": [[0.000, 0.000, 0.000], [0.750, 0.750, 0.750], [0.500, 0.500, 0.500], [0.250, 0.250, 0.250]]}


{"formula": "Pm2BeIn", "functional": "PBE-GGA", "state": "relaxed", "spacegroup": "P4/mmm", "final_energy_ev_per_fu": -16.6, "cell": [[3.614, 0.000, 0.000], [0.000, 3.614, 0.000], [0.000, 0.000, 7.663]], "species": ["Pm", "Pm", "Be", "In"], "fractional_positions": [[0.000, 0.000, 0.219], [0.000, 0.000, 0.781], [0.500, 0.500, 0.000], [0.500, 0.500, 0.500]]}


no.,energy relative to the elements (kcal/mol of atoms)
1,-10.96
2,-7.11
3,-3.63